# 1
5
Lattice="4.628 0.000 0.000 0.000 4.628 0.000 0.000 0.000 4.628" Properties=species:S:1:pos:R:3 comment="SCAN LaTcRu3, single point on PBEsol structure" formation_energy_ev_per_atom=2.17 pbc="T T T"
La 0.000 0.000 0.000
Tc 2.314 2.314 2.314
Ru 0.000 0.000 2.314
Ru 0.000 2.314 0.000
Ru 2.314 0.000 0.000

# 2
4
Lattice="0.000 3.602 3.602 3.602 0.000 3.602 3.602 3.602 0.000" Properties=species:S:1:pos:R:3 comment="SCAN LaTe2Ru, single point on PBEsol structure" e_form_raw_ev_per_fu=-1.76 pbc="T T T"
La 0.000 0.000 0.000
Te 1.801 1.801 1.801
Te 5.402 5.402 5.402
Ru 3.602 3.602 3.602

# 3
4
Lattice="2.995 -3.974 0.000 2.995 3.974 0.000 0.000 0.000 4.228" Properties=species:S:1:pos:R:3 comment="SCAN LaTe2Ru, single point on PBEsol structure" e_form_raw_ev_per_fu=-2.82 pbc="T T T"
La 0.000 0.000 0.000
Te 2.995 1.563 2.114
Te 2.995 -1.563 2.114
Ru 2.995 0.000 0.000

Quick rundown of E_tot, same order as above: -34.355 -38.549 -38.814 eV/atom